DFT (PBE with a Hubbard U) results for an optimized crystal structure of MnPbO3.

Cell lengths 9.813, 5.843, 5.423 Å; angles 90.00, 99.89, 90.00 degrees
Space group P2/c (No. 13)
Asymmetric unit:
Mn (0.000, 0.124, 0.250) [2 per cell]
Mn (0.000, 0.375, 0.750) [2 per cell]
Pb (0.373, 0.249, 0.960) [4 per cell]
O (0.099, 0.376, 0.112) [4 per cell]
O (0.103, 0.126, 0.627) [4 per cell]
O (0.500, 0.003, 0.250) [2 per cell]
O (0.500, 0.497, 0.750) [2 per cell]

Results
- M_tot (μB per cell) = 12.54
- uncorrected energy (eV/f.u.) = -32.256